First-principles (PBE-GGA) data for In8GaAg3 after structural relaxation, as listed in Alexandria.

a b c (Å): 9.5450 9.5484 6.7449
angles (deg): 135.21 90.00 119.99
Sites, in units of the cell vectors:
In 0.2513 0.5025 0.7542
In 0.7487 0.4974 0.2458
In 0.2524 0.0021 0.7537
In 0.7497 0.0021 0.7537
In 0.7503 0.5006 0.7520
In 0.2497 0.4994 0.2480
In 0.2503 0.9979 0.2463
In 0.7476 0.9979 0.2463
Ga 0.0000 0.0000 0.0000
Ag 0.5000 0.0000 0.0000
Ag 0.5000 0.5000 0.0000
Ag 0.0000 0.5000 0.0000

Total energy in eV/f.u.: -33.56
Energy of formation in eV per atom: -0.006
Total magnetic moment in μB per formula unit: 0.00
SG: C2/m, No. 12

=====

First-principles (PBE-GGA) data for InGa6Ag12 after structural relaxation, as listed in Alexandria.

a b c (Å): 7.5991 7.5991 7.5991
angles (deg): 106.38 106.38 106.38
Sites, in units of the cell vectors:
In 0.0000 0.0000 0.0000
Ga 0.6952 0.2988 0.2988
Ga 0.2988 0.2988 0.6952
Ga 0.2988 0.6952 0.2988
Ga 0.7012 0.7012 0.3048
Ga 0.3048 0.7012 0.7012
Ga 0.7012 0.3048 0.7012
Ag 0.8839 0.1161 0.5000
Ag 0.8857 0.6439 0.6439
Ag 0.6439 0.6439 0.8857
Ag 0.3561 0.1143 0.3561
Ag 0.3561 0.3561 0.1143
Ag 0.1143 0.3561 0.3561
Ag 0.1161 0.5000 0.8839
Ag 0.5000 0.8839 0.1161
Ag 0.1161 0.8839 0.5000
Ag 0.8839 0.5000 0.1161
Ag 0.5000 0.1161 0.8839
Ag 0.6439 0.8857 0.6439

Total energy in eV/f.u.: -53.48
Energy of formation in eV per atom: 0.086
Total magnetic moment in μB per formula unit: 0.00
SG: R-3m, No. 166

=====

First-principles (PBE-GGA) data for InGaAg5 after structural relaxation, as listed in Alexandria.

a b c (Å): 4.9668 4.9668 10.9116
angles (deg): 90.00 90.00 79.99
Sites, in units of the cell vectors:
In 0.3484 0.6516 0.7500
In 0.6516 0.3484 0.2500
Ga 0.0000 0.0000 0.0000
Ga 0.0000 0.0000 0.5000
Ag 0.4347 0.1629 0.8921
Ag 0.5653 0.8371 0.3921
Ag 0.1629 0.4347 0.3921
Ag 0.9216 0.0784 0.7500
Ag 0.1629 0.4347 0.1079
Ag 0.8371 0.5653 0.8921
Ag 0.0784 0.9216 0.2500
Ag 0.8371 0.5653 0.6079
Ag 0.4347 0.1629 0.6079
Ag 0.5653 0.8371 0.1079

Total energy in eV/f.u.: -19.91
Energy of formation in eV per atom: 0.016
Total magnetic moment in μB per formula unit: 0.00
SG: Cmcm, No. 63

=====

First-principles (PBE-GGA) data for In5Ga4Ag after structural relaxation, as listed in Alexandria.

a b c (Å): 3.2386 3.2386 21.8315
angles (deg): 90.00 90.00 90.00
Sites, in units of the cell vectors:
In 0.5000 0.5000 0.0926
In 0.5000 0.5000 0.2963
In 0.5000 0.5000 0.5000
In 0.5000 0.5000 0.7037
In 0.5000 0.5000 0.9074
Ga 0.0000 0.0000 0.1950
Ga 0.0000 0.0000 0.3967
Ga 0.0000 0.0000 0.6033
Ga 0.0000 0.0000 0.8050
Ag 0.0000 0.0000 0.0000

Total energy in eV/f.u.: -28.24
Energy of formation in eV per atom: 0.041
Total magnetic moment in μB per formula unit: 0.00
SG: P4/mmm, No. 123

=====

First-principles (PBE-GGA) data for In8Ga2Ag after structural relaxation, as listed in Alexandria.

a b c (Å): 4.6899 8.8034 8.3414
angles (deg): 121.84 106.07 90.00
Sites, in units of the cell vectors:
Ag 0.5000 0.0000 0.0000
Ga 0.1888 0.6959 0.3918
Ga 0.8112 0.3041 0.6082
In 0.6572 0.8838 0.3165
In 0.3428 0.5673 0.6835
In 0.1389 0.1384 0.2767
In 0.0000 0.3155 0.0000
In 0.8611 0.8616 0.7233
In 0.6572 0.4327 0.3165
In 0.3428 0.1162 0.6835
In 0.0000 0.6845 0.0000

Total energy in eV/f.u.: -30.30
Energy of formation in eV per atom: 0.046
Total magnetic moment in μB per formula unit: 0.00
SG: C2/m, No. 12

=====

First-principles (PBE-GGA) data for In2Ga2Ag3 after structural relaxation, as listed in Alexandria.

a b c (Å): 4.8424 5.1845 6.8677
angles (deg): 66.92 69.29 90.51
Sites, in units of the cell vectors:
In 0.3786 0.0059 0.2441
In 0.6214 0.9941 0.7559
Ga 0.1158 0.6298 0.7699
Ga 0.8842 0.3702 0.2301
Ag 0.0000 0.0000 0.0000
Ag 0.2585 0.3594 0.4815
Ag 0.7415 0.6406 0.5185

Total energy in eV/f.u.: -19.96
Energy of formation in eV per atom: 0.018
Total magnetic moment in μB per formula unit: 0.00
SG: P-1, No. 2

=====

First-principles (PBE-GGA) data for InGaAg2 after structural relaxation, as listed in Alexandria.

a b c (Å): 4.2104 4.3085 4.3085
angles (deg): 90.00 90.00 90.00
Sites, in units of the cell vectors:
Ga 0.5000 0.0000 0.0000
Ag 0.0000 0.0000 0.5000
Ag 0.0000 0.5000 0.0000
In 0.5000 0.5000 0.5000

Total energy in eV/f.u.: -11.31
Energy of formation in eV per atom: 0.039
Total magnetic moment in μB per formula unit: 0.00
SG: P4/mmm, No. 123

=====

First-principles (PBE-GGA) data for In2Ga3Ag8 after structural relaxation, as listed in Alexandria.

a b c (Å): 3.0619 9.7399 9.4561
angles (deg): 118.61 90.00 90.00
Sites, in units of the cell vectors:
In 0.5000 0.3649 0.5359
In 0.5000 0.6351 0.4641
Ga 0.5000 0.0000 0.0000
Ga 0.0000 0.2340 0.9361
Ga 0.0000 0.7660 0.0639
Ag 0.0000 0.5508 0.1698
Ag 0.0000 0.4492 0.8302
Ag 0.0000 0.0887 0.2991
Ag 0.0000 0.9113 0.7009
Ag 0.5000 0.6929 0.7899
Ag 0.5000 0.1404 0.6507
Ag 0.5000 0.8596 0.3493
Ag 0.5000 0.3071 0.2101

Total energy in eV/f.u.: -37.08
Energy of formation in eV per atom: 0.022
Total magnetic moment in μB per formula unit: 0.00
SG: P2/m, No. 10

=====

First-principles (PBE-GGA) data for In3Ga2Ag7 after structural relaxation, as listed in Alexandria.

a b c (Å): 5.6993 5.6993 9.3793
angles (deg): 72.31 72.31 60.00
Sites, in units of the cell vectors:
In 0.0000 0.0000 0.0000
In 0.8569 0.8569 0.4293
In 0.1431 0.1431 0.5707
Ga 0.6664 0.6664 0.0009
Ga 0.3336 0.3336 0.9991
Ag 0.5000 0.5000 0.5000
Ag 0.9222 0.4159 0.2459
Ag 0.4159 0.9222 0.2459
Ag 0.4159 0.4159 0.2459
Ag 0.0778 0.5841 0.7541
Ag 0.5841 0.5841 0.7541
Ag 0.5841 0.0778 0.7541

Total energy in eV/f.u.: -33.79
Energy of formation in eV per atom: 0.036
Total magnetic moment in μB per formula unit: 0.00
SG: R-3m, No. 166

=====

First-principles (PBE-GGA) data for InGa4Ag2 after structural relaxation, as listed in Alexandria.

a b c (Å): 5.6872 6.4456 6.4436
angles (deg): 51.20 54.80 54.78
Sites, in units of the cell vectors:
Ag 0.7885 0.4702 0.4697
Ag 0.2115 0.5298 0.5303
Ga 0.6991 0.5480 0.0258
Ga 0.3009 0.4520 0.9742
Ga 0.6993 0.0258 0.5481
Ga 0.3007 0.9742 0.4519
In 0.0000 0.0000 0.0000

Total energy in eV/f.u.: -20.26
Energy of formation in eV per atom: 0.042
Total magnetic moment in μB per formula unit: 0.00
SG: C2/m, No. 12

=====

First-principles (PBE-GGA) data for In3GaAg2 after structural relaxation, as listed in Alexandria.

a b c (Å): 12.4072 5.8090 8.1063
angles (deg): 90.00 108.60 90.00
Sites, in units of the cell vectors:
In 0.3790 0.9957 0.0337
In 0.1210 0.4957 0.4663
In 0.6210 0.0043 0.9663
In 0.8790 0.5043 0.5337
In 0.4398 0.5003 0.1479
In 0.0602 0.0003 0.3521
In 0.5602 0.4997 0.8521
In 0.9398 0.9997 0.6479
In 0.8966 0.5053 0.0974
In 0.6034 0.0053 0.4026
In 0.1034 0.4947 0.9026
In 0.3966 0.9947 0.5974
Ga 0.6057 0.5007 0.4864
Ga 0.8943 0.0007 0.0136
Ga 0.3943 0.4993 0.5136
Ga 0.1057 0.9993 0.9864
Ag 0.6980 0.6265 0.2218
Ag 0.8020 0.1265 0.2782
Ag 0.3020 0.3735 0.7782
Ag 0.1980 0.8735 0.7218
Ag 0.2531 0.7606 0.2542
Ag 0.2469 0.2606 0.2458
Ag 0.7469 0.2394 0.7458
Ag 0.7531 0.7394 0.7542

Total energy in eV/f.u.: -16.69
Energy of formation in eV per atom: 0.043
Total magnetic moment in μB per formula unit: 0.00
SG: P2_1/c, No. 14

=====

First-principles (PBE-GGA) data for In2GaAg2 after structural relaxation, as listed in Alexandria.

a b c (Å): 7.1400 7.1400 4.3482
angles (deg): 90.00 90.00 90.00
Sites, in units of the cell vectors:
Ga 0.0000 0.0000 0.0000
Ga 0.5000 0.5000 0.0000
Ag 0.3586 0.8586 0.0000
Ag 0.8586 0.6414 0.0000
Ag 0.6414 0.1414 0.0000
Ag 0.1414 0.3586 0.0000
In 0.1650 0.6650 0.5000
In 0.6650 0.8350 0.5000
In 0.8350 0.3350 0.5000
In 0.3350 0.1650 0.5000

Total energy in eV/f.u.: -13.81
Energy of formation in eV per atom: 0.079
Total magnetic moment in μB per formula unit: 0.00
SG: P4/mbm, No. 127